Entry from the Alexandria database: a relaxed ThPa3N6 crystal (PBE).

abc: 3.725 6.834 6.834
angles: 110.19 90.00 90.00
Atoms (fractional coordinates):
Pa: 0.500 0.500 0.000
Pa: 0.500 0.000 0.500
Pa: 0.000 0.000 0.000
N: 0.000 0.337 0.081
N: 0.500 0.648 0.352
N: 0.000 0.663 0.919
N: 0.000 0.919 0.663
N: 0.000 0.081 0.337
N: 0.500 0.352 0.648
Th: 0.000 0.500 0.500

Output
**Space group**: Cmmm, No. 65
**D(E_F)**: 1.442 states/eV per cell
**Mass density**: 10.3 g/cm3
**Volume**: 163.3 Å³/cell
**E above lowest polymorph**: 23 kJ/mol of formula units
**E_form (uncorrected)**: -1.642 eV/atom